MgIO2F: optimized geometry, PBE.

Structure (extended XYZ):
```
5
Lattice="4.130 0.000 0.000 0.000 4.130 0.000 0.000 0.000 3.737" Properties=species:S:1:pos:R:3 pbc="T T T"
Mg 0.000 0.000 0.000
F 0.000 0.000 1.868
O 2.065 0.000 0.000
O 0.000 2.065 0.000
I 2.065 2.065 1.868
```

Summary:
Total energy   -0.149 Ha/atom
Uncorrected formation energy   -1.06 eV per atom